VASP calculation (PBE) on HoZn3CuPd after structural relaxation.

a = 5.2650 Å, b = 8.0563 Å, c = 6.7670 Å
α = 126.53°, β = 90.00°, γ = 90.00°
Last column: nearest neighbours and their distance in Å.
Sites, in units of the cell vectors:
Zn 0.2500 0.1724 0.3449  1 Cu 2.45, 1 Pd 2.59
Zn 0.0000 0.7503 0.0000  2 Cu 2.47, 2 Pd 2.60, 2 Zn 2.63
Zn 0.0000 0.2497 0.0000  2 Cu 2.47, 2 Pd 2.60, 2 Zn 2.63
Zn 0.5000 0.7503 0.0000  2 Cu 2.47, 2 Pd 2.60, 2 Zn 2.63
Zn 0.7500 0.8276 0.6551  1 Cu 2.45, 1 Pd 2.59
Zn 0.5000 0.2497 0.0000  2 Cu 2.47, 2 Pd 2.60, 2 Zn 2.63
Ho 0.2500 0.6921 0.3842  1 Cu 2.77, 3 Pd 2.86-3.06, 2 Zn 3.02
Ho 0.7500 0.3079 0.6158  1 Cu 2.77, 3 Pd 2.86-3.06, 2 Zn 3.02
Pd 0.2500 0.4108 0.8216  5 Zn 2.59-2.60, 2 Ho 2.86
Pd 0.7500 0.5892 0.1784  5 Zn 2.59-2.60, 2 Ho 2.86
Cu 0.7500 0.0532 0.1064  5 Zn 2.45-2.47
Cu 0.2500 0.9468 0.8936  5 Zn 2.45-2.47

Results
DOS(E_F)   6.2 states/eV per cell
VASP energy   -3.163 eV/atom

=====

VASP calculation (PBE) on SmBi2 after structural relaxation.

a = 4.1946 Å, b = 4.1946 Å, c = 6.0381 Å
α = 110.46°, β = 110.46°, γ = 89.87°
Last column: nearest neighbours and their distance in Å.
Sites, in units of the cell vectors:
Bi 0.8467 0.8467 0.6934  5 Bi 3.22-3.60, 4 Sm 3.37-3.38
Bi 0.1533 0.1533 0.3066  5 Bi 3.22-3.60, 4 Sm 3.37-3.38
Sm 0.5000 0.5000 0.0000  10 Bi 3.37-3.64

Results
DOS(E_F)   2.1 states/eV per cell
VASP energy   -4.695 eV/atom

=====

VASP calculation (PBE) on NiHBr3 after structural relaxation.

a = 4.9250 Å, b = 4.9250 Å, c = 4.9250 Å
α = 90.00°, β = 90.00°, γ = 90.00°
Last column: nearest neighbours and their distance in Å.
Sites, in units of the cell vectors:
Br 0.0000 0.0000 0.5000  2 Ni 2.46
Br 0.0000 0.5000 0.0000  2 Ni 2.46
Br 0.5000 0.0000 0.0000  2 Ni 2.46
Ni 0.0000 0.0000 0.0000  6 Br 2.46
H 0.5000 0.5000 0.5000  12 Br 3.48

Results
DOS(E_F)   8.1 states/eV per cell
ΔE to the lowest computed polymorph   666 meV/atom
VASP energy   -2.387 eV/atom

=====

VASP calculation (PBE) on Er8AlCo2 after structural relaxation.

a = 5.2112 Å, b = 7.7438 Å, c = 7.7438 Å
α = 112.83°, β = 97.50°, γ = 97.50°
Last column: nearest neighbours and their distance in Å.
Sites, in units of the cell vectors:
Co 0.0000 0.3098 0.6902  8 Er 2.73-2.97
Co 0.0000 0.6902 0.3098  8 Er 2.73-2.97
Er 0.5000 0.7521 0.2479  2 Co 2.73
Er 0.9256 0.9339 0.6725  2 Co 2.82-2.83
Er 0.6956 0.3819 0.3819  2 Co 2.97, 1 Al 3.19, 3 Er 3.19-3.28
Er 0.5000 0.2479 0.7521  2 Co 2.73
Er 0.9256 0.6725 0.9339  2 Co 2.82-2.83
Er 0.3044 0.6181 0.6181  2 Co 2.97, 1 Al 3.19, 3 Er 3.19-3.28
Er 0.0744 0.3275 0.0661  2 Co 2.82-2.83
Er 0.0744 0.0661 0.3275  2 Co 2.82-2.83
Al 0.5000 0.0000 0.0000  12 Er 3.19-3.52

Results
DOS(E_F)   11.6 states/eV per cell
VASP energy   -5.063 eV/atom

=====

VASP calculation (PBE) on ZrCrCo after structural relaxation.

a = 5.6521 Å, b = 5.6524 Å, c = 2.9119 Å
α = 75.07°, β = 75.08°, γ = 29.85°
Last column: nearest neighbours and their distance in Å.
Sites, in units of the cell vectors:
Zr 0.6683 0.6683 0.3317  5 Cr 2.90-3.22, 4 Zr 2.91, 5 Co 2.93-3.17
Cr 0.3620 0.3620 0.6380  4 Co 2.35
Co 0.9696 0.9696 0.0304  4 Cr 2.35

Results
DOS(E_F)   3.6 states/eV per cell
ΔE to the lowest computed polymorph   282 meV/atom
VASP energy   -8.321 eV/atom

=====

VASP calculation (PBE) on LiCuPd after structural relaxation.

a = 2.6798 Å, b = 4.1528 Å, c = 4.1528 Å
α = 120.00°, β = 90.00°, γ = 90.00°
Last column: nearest neighbours and their distance in Å.
Sites, in units of the cell vectors:
Cu 0.3975 0.3333 0.6667  3 Li 2.47, 3 Pd 2.65, 2 Cu 2.68
Li 0.6257 0.6667 0.3333  3 Cu 2.47, 3 Pd 2.58, 2 Li 2.68
Pd 0.9768 0.0000 0.0000  3 Li 2.58, 6 Cu 2.65-2.86, 2 Pd 2.68

Results
DOS(E_F)   0.9 states/eV per cell
ΔE to the lowest computed polymorph   19 meV/atom
VASP energy   -3.978 eV/atom

=====

VASP calculation (PBE) on MgPdPb after structural relaxation.

a = 3.2006 Å, b = 4.7817 Å, c = 4.7817 Å
α = 120.00°, β = 90.00°, γ = 90.00°
Last column: nearest neighbours and their distance in Å.
Sites, in units of the cell vectors:
Mg 0.6666 0.6667 0.3333  6 Pd 3.19, 6 Pb 3.19, 2 Mg 3.20
Pb 0.1658 0.0000 0.0000  3 Pd 2.76
Pd 0.1676 0.3333 0.6667  3 Pb 2.76

Results
DOS(E_F)   1.1 states/eV per cell
VASP energy   -3.718 eV/atom

=====

VASP calculation (PBE) on ZnReS2 after structural relaxation.

a = 9.1561 Å, b = 9.1561 Å, c = 9.1561 Å
α = 19.11°, β = 19.11°, γ = 19.11°
Last column: nearest neighbours and their distance in Å.
Sites, in units of the cell vectors:
S 0.1048 0.1048 0.1048  3 Re 2.42
S 0.8952 0.8952 0.8952  3 Re 2.42
Zn 0.0000 0.0000 0.0000  2 S 2.82, 6 Zn 3.04
Re 0.5000 0.5000 0.5000  6 S 2.42

Results
DOS(E_F)   1.6 states/eV per cell
VASP energy   -5.534 eV/atom
Raw formation energy   -0.04 eV/atom

=====

What is the VASP energy in the second record?
-4.695 eV/atom

=====

Which value of VASP energy does entry 7 give?
-3.718 eV/atom

=====

Look up the DOS(E_F) of the second one.
2.1 states/eV per cell

=====

Copy entry 2 word for word.
VASP calculation (PBE) on SmBi2 after structural relaxation.

a = 4.1946 Å, b = 4.1946 Å, c = 6.0381 Å
α = 110.46°, β = 110.46°, γ = 89.87°
Last column: nearest neighbours and their distance in Å.
Sites, in units of the cell vectors:
Bi 0.8467 0.8467 0.6934  5 Bi 3.22-3.60, 4 Sm 3.37-3.38
Bi 0.1533 0.1533 0.3066  5 Bi 3.22-3.60, 4 Sm 3.37-3.38
Sm 0.5000 0.5000 0.0000  10 Bi 3.37-3.64

Results
DOS(E_F)   2.1 states/eV per cell
VASP energy   -4.695 eV/atom